DFT (GGA-PBE) results for an optimized crystal structure of BeAsSe2.

Values from the calculation:
Calculated volume = 17.79 A^3/atom
Uncorrected energy = -3.2987 eV per atom
Distance to the lowest polymorph of the same formula = 654 meV/atom
Spin magnetization = 0.00 μB per atom
Raw formation energy = 0.54 eV/atom
SG = Fm-3m (225)

```
BeAsSe2
1.0
0.000 3.289 3.289
3.289 0.000 3.289
3.289 3.289 0.000
Se Be As
2 1 1
Direct
0.250 0.250 0.250 Se
0.750 0.750 0.750 Se
0.000 0.000 0.000 Be
0.500 0.500 0.500 As
```